Entry 1:
# Pd13Pt2

A geometry-optimized Pd13Pt2 structure (PBE-GGA, Alexandria via LeMat-Bulk).

Structure (extended XYZ):
```
15
Lattice="6.2374 0.0000 0.0000 0.6217 6.2089 0.0000 2.4723 2.2454 5.9707" Properties=species:S:1:pos:R:3 pbc="T T T"
Pd 0.0000 0.0000 0.0000
Pd 1.8721 5.4570 2.3994
Pd 3.1017 4.6969 4.7840
Pd 1.8673 1.6969 1.1900
Pd 3.7338 7.1483 3.5790
Pd 2.5004 4.1481 0.0073
Pd 3.7355 3.3874 2.4020
Pd 5.5958 5.0669 3.5687
Pd 6.8309 4.3062 5.9634
Pd 5.5975 1.3061 2.3917
Pd 7.4641 6.7574 4.7807
Pd 6.2296 3.7574 1.1867
Pd 7.4592 2.9974 3.5713
Pt 4.9700 2.6217 4.7859
Pt 4.3614 5.8326 1.1848
```

Summary:
energy of formation = -0.004 eV per atom
space-group type = P-1
magnetic moment = 3.9 Bohr magnetons per cell



Entry 2:
# Be2CoReSn

A geometry-optimized Be2CoReSn structure (PBE-GGA, Alexandria via LeMat-Bulk).

Structure (extended XYZ):
```
5
Lattice="4.3023 0.0000 0.0000 0.0000 4.3023 0.0000 0.0000 0.0000 5.1143" Properties=species:S:1:pos:R:3 pbc="T T T"
Be 0.0000 2.1511 0.0000
Be 2.1511 0.0000 0.0000
Co 0.0000 0.0000 2.5572
Re 2.1511 2.1511 2.5572
Sn 2.1511 2.1511 0.0000
```

Summary:
energy of formation = 1.993 eV per atom
space-group type = P4/mmm
magnetic moment = 3.7 Bohr magnetons per cell



Entry 3:
# Rb2SrU2S7

A geometry-optimized Rb2SrU2S7 structure (PBE-GGA, Alexandria via LeMat-Bulk).

Structure (extended XYZ):
```
12
Lattice="-2.6079 2.6079 13.4611 2.6079 -2.6079 13.4611 2.6079 2.6079 -13.4611" Properties=species:S:1:pos:R:3 pbc="T T T"
Rb 0.0000 0.0000 4.9962
Rb 0.0000 0.0000 21.9260
Sr 0.0000 0.0000 0.0000
U 0.0000 0.0000 10.8749
U 0.0000 0.0000 16.0473
S 2.6079 0.0000 2.2757
S 0.0000 0.0000 8.4056
S 2.6079 0.0000 11.1854
S 0.0000 0.0000 13.4611
S 0.0000 2.6079 2.2757
S 0.0000 0.0000 18.5166
S 0.0000 2.6079 11.1854
```

Summary:
space-group type = I4/mmm
magnetic moment = 2.0 Bohr magnetons per cell
energy relative to the elements, uncorrected = -1.43 eV/atom



Entry 4:
# YV2Ru

A geometry-optimized YV2Ru structure (PBE-GGA, Alexandria via LeMat-Bulk).

Structure (extended XYZ):
```
8
Lattice="-2.2120 2.2120 8.6809 2.2120 -2.2120 8.6809 2.2120 2.2120 -8.6809" Properties=species:S:1:pos:R:3 pbc="T T T"
Y 2.2120 1.1060 2.1702
Y 0.0000 1.1060 6.5106
V 0.0000 0.0000 0.0000
V 1.1060 1.1060 -4.3404
V 1.1060 -1.1060 4.3404
V 0.0000 2.2120 0.0000
Ru 2.2120 -1.1060 6.5106
Ru 0.0000 3.3180 2.1702
```

Summary:
energy of formation = 0.620 eV per atom
space-group type = I4_1/amd
magnetic moment = 0.0 Bohr magnetons per cell



Entry 5:
# NaTa2Ti

A geometry-optimized NaTa2Ti structure (PBE-GGA, Alexandria via LeMat-Bulk).

Structure (extended XYZ):
```
8
Lattice="-1.9842 1.9842 10.0495 1.9842 -1.9842 10.0495 1.9842 1.9842 -10.0495" Properties=species:S:1:pos:R:3 pbc="T T T"
Na 0.0000 0.0000 0.0000
Na 0.0000 1.9842 5.0248
Ta 0.9921 -0.9309 7.5371
Ta 1.0534 0.9921 2.5124
Ta 0.9921 2.9151 -2.5124
Ta 0.9309 0.9921 12.5619
Ti 1.9842 0.0000 5.0248
Ti 0.0000 0.0000 10.0495
```

Summary:
energy of formation = 1.050 eV per atom
space-group type = I-42d
magnetic moment = 0.0 Bohr magnetons per cell



Entry 6:
# Y8Tm2Sc3

A geometry-optimized Y8Tm2Sc3 structure (PBE-GGA, Alexandria via LeMat-Bulk).

Structure (extended XYZ):
```
13
Lattice="7.2898 -4.3866 0.0000 7.2898 4.3866 0.0000 -0.9978 0.0000 6.4968" Properties=species:S:1:pos:R:3 pbc="T T T"
Y 5.5963 2.7747 0.4672
Y 0.8949 0.0000 2.4937
Y 7.9854 2.7747 6.0296
Y 3.7751 0.0000 4.5728
Y 9.8066 0.0000 1.9240
Y 5.5963 -2.7747 0.4672
Y 12.6868 0.0000 4.0031
Y 7.9854 -2.7747 6.0296
Tm 4.1826 0.0000 1.3791
Tm 9.3992 0.0000 5.1177
Sc 6.7909 1.4299 3.2484
Sc 7.2898 0.0000 0.0000
Sc 6.7909 -1.4299 3.2484
```

Summary:
energy of formation = 0.255 eV per atom
space-group type = C2/m
magnetic moment = 0.0 Bohr magnetons per cell



Entry 7:
# YAs2Pb

A geometry-optimized YAs2Pb structure (PBE-GGA, Alexandria via LeMat-Bulk).

Structure (extended XYZ):
```
4
Lattice="-2.7532 2.7532 3.1797 2.7532 -2.7532 3.1797 2.7532 2.7532 -3.1797" Properties=species:S:1:pos:R:3 pbc="T T T"
Y 0.0000 0.0000 0.0000
As 2.7532 0.0000 1.5898
As 0.0000 2.7532 1.5898
Pb 0.0000 0.0000 3.1797
```

Summary:
energy of formation = -0.467 eV per atom
space-group type = I4/mmm
magnetic moment = 0.0 Bohr magnetons per cell



Entry 8:
# Cs2PaTlCl6

A geometry-optimized Cs2PaTlCl6 structure (PBE-GGA, Alexandria via LeMat-Bulk).

Structure (extended XYZ):
```
20
Lattice="4.3606 2.5176 12.3979 -4.3606 2.5176 12.3979 0.0000 -5.0352 12.3979" Properties=species:S:1:pos:R:3 pbc="T T T"
Cs 0.0000 0.0000 4.8608
Cs 0.0000 0.0000 9.9947
Cs 0.0000 0.0000 27.1990
Cs 0.0000 0.0000 32.3329
Pa 0.0000 0.0000 0.0000
Pa 0.0000 0.0000 18.5968
Tl 0.0000 0.0000 15.1016
Tl 0.0000 0.0000 22.0920
Cl -2.1513 -1.2420 17.2923
Cl 0.0000 -2.9218 14.0449
Cl -2.5303 1.4609 14.0449
Cl -2.5303 -1.4609 23.1488
Cl 0.0000 -2.4841 19.9014
Cl -2.1513 1.2420 19.9014
Cl 2.1513 -1.2420 17.2923
Cl 0.0000 2.4841 17.2923
Cl 2.5303 1.4609 14.0449
Cl 2.5303 -1.4609 23.1488
Cl 0.0000 2.9218 23.1488
Cl 2.1513 1.2420 19.9014
```

Summary:
space-group type = R-3m
magnetic moment = 1.3 Bohr magnetons per cell
energy relative to the elements, uncorrected = -1.68 eV/atom



Entry 9:
# PuSc2H8

A geometry-optimized PuSc2H8 structure (PBE-GGA, Alexandria via LeMat-Bulk).

Structure (extended XYZ):
```
11
Lattice="-1.6941 2.5583 5.1215 1.6941 -2.5583 5.1215 1.6941 2.5583 -5.1215" Properties=species:S:1:pos:R:3 pbc="T T T"
Pu 0.0000 0.0000 0.0000
Sc 0.0000 0.0000 3.3437
Sc 0.0000 0.0000 6.8993
H 1.6941 -1.1554 3.4306
H 1.6941 0.0000 1.5997
H 1.6941 1.5023 0.0000
H 0.0000 1.4030 1.6909
H 1.6941 1.1554 3.4306
H 0.0000 1.0561 5.1215
H 0.0000 2.5583 3.5218
H 0.0000 3.7137 1.6909
```

Summary:
space-group type = Immm
magnetic moment = 5.3 Bohr magnetons per cell
total DFT energy (no corrections) = -0.396 Ry per atom



Entry 10:
# YHoS2

A geometry-optimized YHoS2 structure (PBE-GGA, Alexandria via LeMat-Bulk).

Structure (extended XYZ):
```
4
Lattice="1.9085 1.1019 6.7621 -1.9085 1.1019 6.7621 0.0000 -2.2037 6.7621" Properties=species:S:1:pos:R:3 pbc="T T T"
Y 0.0000 0.0000 0.0000
Ho 0.0000 0.0000 16.6692
S 0.0000 0.0000 8.3166
S 0.0000 0.0000 11.7232
```

Summary:
space-group type = R3m
magnetic moment = 0.0 Bohr magnetons per cell
energy relative to the elements, uncorrected = -1.95 eV/atom